Crystalline K4ReSb at its relaxed geometry, computed with GGA-PBE.

Computed properties:
Its size of the total moment is 4.20 μB/f.u. The uncorrected formation energy is 109.1 kJ per mole of atoms. The density of states at the Fermi level is 15.74 states/eV per cell.

a = 9.602 Å, b = 9.602 Å, c = 9.602 Å
α = 90.00°, β = 90.00°, γ = 90.00°
Space group F-43m (No. 216)
Symmetry-distinct sites (fractional):
K: 0.124 0.124 0.376 x16
Re: 0.000 0.000 0.000 x4
Sb: 0.250 0.250 0.750 x4